No. 1
This record from the Alexandria database describes ZrCo2W after structural relaxation. The functional is PBE-GGA.

For the calculated formation energy, the calculation gives -7 meV/atom. The calculation puts the magnetic moment at 1.37 μB/f.u. The energy relative to the lowest polymorph listed for this composition is 50.8 meV per atom. The density of states at the Fermi level comes out at 0.96 states/eV per atom.

It has space group P4/mmm (No. 123), with a = 2.9447 Å, b = 2.9447 Å, c = 6.8370 Å, α = 90.00°, β = 90.00° and γ = 90.00°. The asymmetric unit holds Zr at (0.0000, 0.0000, 0.0000), Co at (0.5000, 0.5000, 0.2864) and W at (0.0000, 0.0000, 0.5000).


No. 2
This record from the Alexandria database describes Zr2CoW after structural relaxation. The functional is PBE-GGA.

For the calculated formation energy, the calculation gives 194 meV/atom. The calculation puts the magnetic moment at 0.02 μB/f.u. The energy relative to the lowest polymorph listed for this composition is 251.6 meV per atom. The density of states at the Fermi level comes out at 1.01 states/eV per atom.

It has space group Pm (No. 6), with a = 2.9753 Å, b = 4.6133 Å, c = 5.2627 Å, α = 90.00°, β = 101.23° and γ = 90.00°. The asymmetric unit holds Zr at (0.0000, 0.0000, 0.0000), Zr at (0.2767, 0.5000, 0.7074), Co at (0.7403, 0.5000, 0.2307) and W at (0.5486, 0.0000, 0.4839).


No. 3
This record from the Alexandria database describes ZrCoW2 after structural relaxation. The functional is PBE-GGA.

For the calculated formation energy, the calculation gives 96 meV/atom. The calculation puts the magnetic moment at 1.33 μB/f.u. The energy relative to the lowest polymorph listed for this composition is 36.2 meV per atom. The density of states at the Fermi level comes out at 0.74 states/eV per atom.

It has space group Pmmm (No. 47), with a = 3.2097 Å, b = 4.3856 Å, c = 4.6238 Å, α = 90.00°, β = 90.00° and γ = 90.00°. The asymmetric unit holds Zr at (0.0000, 0.0000, 0.0000), Co at (0.5000, 0.5000, 0.0000), W at (0.0000, 0.5000, 0.5000) and W at (0.5000, 0.0000, 0.5000).


No. 4
This record from the Alexandria database describes Zr2CoW after structural relaxation. The functional is PBE-GGA.

For the calculated formation energy, the calculation gives 58 meV/atom. The calculation puts the magnetic moment at 1.23 μB/f.u. The energy relative to the lowest polymorph listed for this composition is 115.5 meV per atom. The density of states at the Fermi level comes out at 0.80 states/eV per atom.

It has space group Imm2 (No. 44), with a = 3.2154 Å, b = 4.6193 Å, c = 9.6388 Å, α = 90.00°, β = 90.00° and γ = 90.00°. The asymmetric unit holds Zr at (0.0000, 0.0000, 0.0000), Zr at (0.0000, 0.5000, 0.2275), Co at (0.0000, 0.5000, 0.7531) and W at (0.0000, 0.0000, 0.4655).


No. 5
This record from the Alexandria database describes ZrCo2W after structural relaxation. The functional is PBE-GGA.

For the calculated formation energy, the calculation gives 243 meV/atom. The calculation puts the magnetic moment at 0.00 μB/f.u. The energy relative to the lowest polymorph listed for this composition is 300.7 meV per atom. The density of states at the Fermi level comes out at 0.24 states/eV per atom.

It has space group F-43m (No. 216), with a = 6.1295 Å, b = 6.1295 Å, c = 6.1295 Å, α = 90.00°, β = 90.00° and γ = 90.00°. The asymmetric unit holds Zr at (0.0000, 0.0000, 0.0000), Co at (0.0000, 0.0000, 0.5000), Co at (0.2500, 0.2500, 0.7500) and W at (0.2500, 0.2500, 0.2500).


No. 6
This record from the Alexandria database describes ZrCo2W after structural relaxation. The functional is PBE-GGA.

For the calculated formation energy, the calculation gives 381 meV/atom. The calculation puts the magnetic moment at 2.70 μB/f.u. The energy relative to the lowest polymorph listed for this composition is 438.9 meV per atom. The density of states at the Fermi level comes out at 1.23 states/eV per atom.

It has space group R3m (No. 160, hexagonal axes), with a = 2.7831 Å, b = 2.7831 Å, c = 27.1420 Å, α = 90.00°, β = 90.00° and γ = 120.00°. The asymmetric unit holds Zr at (0.0000, 0.0000, 0.0000), Co at (0.0000, 0.0000, 0.4893), Co at (0.0000, 0.0000, 0.7552) and W at (0.0000, 0.0000, 0.2334).


No. 7
This record from the Alexandria database describes Zr2CoW after structural relaxation. The functional is PBE-GGA.

For the calculated formation energy, the calculation gives 266 meV/atom. The calculation puts the magnetic moment at 0.35 μB/f.u. The energy relative to the lowest polymorph listed for this composition is 323.4 meV per atom. The density of states at the Fermi level comes out at 0.82 states/eV per atom.

It has space group R-3m (No. 166, hexagonal axes), with a = 3.1058 Å, b = 3.1058 Å, c = 25.8991 Å, α = 90.00°, β = 90.00° and γ = 120.00°. The asymmetric unit holds Zr at (0.0000, 0.0000, 0.2429), Co at (0.0000, 0.0000, 0.5000) and W at (0.0000, 0.0000, 0.0000).


No. 8
This record from the Alexandria database describes ZrCo2W after structural relaxation. The functional is PBE-GGA.

For the calculated formation energy, the calculation gives 1 meV/atom. The calculation puts the magnetic moment at 0.00 μB/f.u. The energy relative to the lowest polymorph listed for this composition is 58.2 meV per atom. The density of states at the Fermi level comes out at 0.84 states/eV per atom.

It has space group R-3m (No. 166, hexagonal axes), with a = 4.1050 Å, b = 4.1050 Å, c = 12.7190 Å, α = 90.00°, β = 90.00° and γ = 120.00°. The asymmetric unit holds Zr at (0.0000, 0.0000, 0.0000), Co at (0.0000, 0.0000, 0.2155) and W at (0.0000, 0.0000, 0.5000).


No. 9
This record from the Alexandria database describes ZrCo2W after structural relaxation. The functional is PBE-GGA.

For the calculated formation energy, the calculation gives 31 meV/atom. The calculation puts the magnetic moment at 0.00 μB/f.u. The energy relative to the lowest polymorph listed for this composition is 88.2 meV per atom. The density of states at the Fermi level comes out at 1.26 states/eV per atom.

It has space group Pmmm (No. 47), with a = 2.8027 Å, b = 3.5905 Å, c = 5.7938 Å, α = 90.00°, β = 90.00° and γ = 90.00°. The asymmetric unit holds Zr at (0.0000, 0.0000, 0.0000), Co at (0.5000, 0.5000, 0.2791) and W at (0.0000, 0.0000, 0.5000).


No. 10
This record from the Alexandria database describes ZrCoW2 after structural relaxation. The functional is PBE-GGA.

For the calculated formation energy, the calculation gives 251 meV/atom. The calculation puts the magnetic moment at 1.17 μB/f.u. The energy relative to the lowest polymorph listed for this composition is 191.5 meV per atom. The density of states at the Fermi level comes out at 1.12 states/eV per atom.

It has space group P2/m (No. 10), with a = 2.7947 Å, b = 4.6502 Å, c = 5.0736 Å, α = 90.00°, β = 99.40° and γ = 90.00°. The asymmetric unit holds Zr at (0.0000, 0.0000, 0.0000), Co at (0.5000, 0.0000, 0.5000) and W at (0.2675, 0.5000, 0.7468).


No. 11
This record from the Alexandria database describes ZrCo2W after structural relaxation. The functional is PBE-GGA.

For the calculated formation energy, the calculation gives 149 meV/atom. The calculation puts the magnetic moment at 2.67 μB/f.u. The energy relative to the lowest polymorph listed for this composition is 206.4 meV per atom. The density of states at the Fermi level comes out at 1.22 states/eV per atom.

It has space group Cmm2 (No. 35), with a = 3.9297 Å, b = 3.9410 Å, c = 7.6667 Å, α = 90.00°, β = 90.00° and γ = 90.00°. The asymmetric unit holds Zr at (0.0000, 0.0000, 0.0000), Co at (0.0000, 0.0000, 0.4514), Co at (0.0000, 0.5000, 0.2705) and W at (0.0000, 0.5000, 0.6872).


No. 12
This record from the Alexandria database describes ZrCo2W after structural relaxation. The functional is PBE-GGA.

For the calculated formation energy, the calculation gives 89 meV/atom. The calculation puts the magnetic moment at 0.00 μB/f.u. The energy relative to the lowest polymorph listed for this composition is 146.7 meV per atom. The density of states at the Fermi level comes out at 1.17 states/eV per atom.

It has space group Cm (No. 8), with a = 9.0427 Å, b = 2.8031 Å, c = 4.6901 Å, α = 90.00°, β = 100.47° and γ = 90.00°. The asymmetric unit holds Zr at (0.0000, 0.0000, 0.0000), Co at (0.2578, 0.5000, 0.1918), Co at (0.4835, 0.0000, 0.4922) and W at (0.2238, 0.0000, 0.6380).


No. 13
This record from the Alexandria database describes ZrCo6W after structural relaxation. The functional is PBE-GGA.

For the calculated formation energy, the calculation gives -106 meV/atom. The calculation puts the magnetic moment at 0.00 μB/f.u. The density of states at the Fermi level comes out at 1.07 states/eV per atom.

It has space group Cmmm (No. 65), with a = 7.3032 Å, b = 10.3339 Å, c = 10.3714 Å, α = 90.00°, β = 90.00° and γ = 90.00°. The asymmetric unit holds Zr at (0.0000, 0.0000, 0.2499), Zr at (0.0000, 0.2473, 0.0000), Co at (0.0000, 0.0000, 0.0000), Co at (0.0000, 0.0000, 0.5000), Co at (0.0000, 0.2553, 0.2585), Co at (0.0000, 0.5000, 0.0000), Co at (0.0000, 0.5000, 0.5000), Co at (0.2416, 0.3768, 0.1308), Co at (0.2428, 0.3727, 0.3802), W at (0.0000, 0.2462, 0.5000) and W at (0.0000, 0.5000, 0.2486).


No. 14
This record from the Alexandria database describes ZrCo2W after structural relaxation. The functional is PBE-GGA.

For the calculated formation energy, the calculation gives 147 meV/atom. The calculation puts the magnetic moment at 0.02 μB/f.u. The energy relative to the lowest polymorph listed for this composition is 204.9 meV per atom. The density of states at the Fermi level comes out at 1.38 states/eV per atom.

It has space group Imm2 (No. 44), with a = 2.7962 Å, b = 4.4123 Å, c = 9.4721 Å, α = 90.00°, β = 90.00° and γ = 90.00°. The asymmetric unit holds Zr at (0.0000, 0.0000, 0.0000), Co at (0.0000, 0.0000, 0.4840), Co at (0.0000, 0.5000, 0.7670) and W at (0.0000, 0.5000, 0.2183).


No. 15
This record from the Alexandria database describes Zr2CoW after structural relaxation. The functional is PBE-GGA.

For the calculated formation energy, the calculation gives 15 meV/atom. The calculation puts the magnetic moment at 0.00 μB/f.u. The energy relative to the lowest polymorph listed for this composition is 72.3 meV per atom. The density of states at the Fermi level comes out at 1.15 states/eV per atom.

It has space group Fm-3m (No. 225), with a = 6.5535 Å, b = 6.5535 Å, c = 6.5535 Å, α = 90.00°, β = 90.00° and γ = 90.00°. The asymmetric unit holds Zr at (0.2500, 0.2500, 0.2500), Co at (0.0000, 0.0000, 0.0000) and W at (0.0000, 0.0000, 0.5000).


No. 16
This record from the Alexandria database describes ZrCoW2 after structural relaxation. The functional is PBE-GGA.

For the calculated formation energy, the calculation gives 434 meV/atom. The calculation puts the magnetic moment at 1.11 μB/f.u. The energy relative to the lowest polymorph listed for this composition is 373.6 meV per atom. The density of states at the Fermi level comes out at 1.24 states/eV per atom.

It has space group Cmmm (No. 65), with a = 5.3146 Å, b = 9.1387 Å, c = 2.7190 Å, α = 90.00°, β = 90.00° and γ = 90.00°. The asymmetric unit holds Zr at (0.0000, 0.0000, 0.0000), Co at (0.0000, 0.5000, 0.0000) and W at (0.2500, 0.2500, 0.5000).


No. 17
This record from the Alexandria database describes ZrCoW2 after structural relaxation. The functional is PBE-GGA.

For the calculated formation energy, the calculation gives 409 meV/atom. The calculation puts the magnetic moment at 0.39 μB/f.u. The energy relative to the lowest polymorph listed for this composition is 348.7 meV per atom. The density of states at the Fermi level comes out at 1.34 states/eV per atom.

It has space group R-3m (No. 166, hexagonal axes), with a = 2.8139 Å, b = 2.8139 Å, c = 28.5348 Å, α = 90.00°, β = 90.00° and γ = 120.00°. The asymmetric unit holds Zr at (0.0000, 0.0000, 0.0000), Co at (0.0000, 0.0000, 0.5000) and W at (0.0000, 0.0000, 0.2388).


No. 18
This record from the Alexandria database describes ZrCoW2 after structural relaxation. The functional is PBE-GGA.

For the calculated formation energy, the calculation gives 227 meV/atom. The calculation puts the magnetic moment at 1.32 μB/f.u. The energy relative to the lowest polymorph listed for this composition is 167.3 meV per atom. The density of states at the Fermi level comes out at 1.06 states/eV per atom.

It has space group C2/m (No. 12), with a = 5.4049 Å, b = 9.2253 Å, c = 2.7840 Å, α = 90.00°, β = 110.65° and γ = 90.00°. The asymmetric unit holds Zr at (0.0000, 0.0000, 0.0000), Co at (0.0000, 0.5000, 0.0000) and W at (0.2500, 0.2500, 0.5000).


No. 19
This record from the Alexandria database describes ZrCoW4 after structural relaxation. The functional is PBE-GGA.

For the calculated formation energy, the calculation gives 414 meV/atom. The calculation puts the magnetic moment at 2.15 μB/f.u. The density of states at the Fermi level comes out at 1.67 states/eV per atom.

It has space group F-43m (No. 216), with a = 7.5053 Å, b = 7.5053 Å, c = 7.5053 Å, α = 90.00°, β = 90.00° and γ = 90.00°. The asymmetric unit holds Zr at (0.0000, 0.0000, 0.0000), Co at (0.2500, 0.2500, 0.7500) and W at (0.1250, 0.1250, 0.3750).


No. 20
This record from the Alexandria database describes ZrCoW2 after structural relaxation. The functional is PBE-GGA.

For the calculated formation energy, the calculation gives 196 meV/atom. The calculation puts the magnetic moment at 0.22 μB/f.u. The energy relative to the lowest polymorph listed for this composition is 135.8 meV per atom. The density of states at the Fermi level comes out at 1.04 states/eV per atom.

It has space group Cmmm (No. 65), with a = 3.5846 Å, b = 4.1874 Å, c = 8.5195 Å, α = 90.00°, β = 90.00° and γ = 90.00°. The asymmetric unit holds Zr at (0.0000, 0.0000, 0.0000), Co at (0.0000, 0.0000, 0.5000) and W at (0.0000, 0.5000, 0.2875).